# 1
Density functional theory data (GGA-PBE) for Y2HfAl after structural relaxation.

Summary:
**Energy relative to the elements**: 0.3505 eV/atom

Cell lengths 8.305, 8.305, 6.618 Å; angles 51.14, 51.14, 90.00 degrees
Site moments in Bohr magnetons follow the coordinates.
Atoms (fractional coordinates):
Al (0.500, 0.500, 0.000)  0.00
Hf (0.000, 0.000, 0.000)  0.26
Al (0.250, 0.750, 0.500)  0.00
Hf (0.750, 0.250, 0.500)  0.26
Y (0.875, 0.849, 0.750)  0.09
Y (0.151, 0.625, 0.250)  0.09
Y (0.599, 0.125, 0.250)  0.09
Y (0.375, 0.401, 0.750)  0.09

# 2
Density functional theory data (GGA-PBE) for YHfAl3 after structural relaxation.

Summary:
**Excess energy over the best structure of this formula in the dataset**: 0.835 eV/atom
**Energy relative to the elements**: 1.2757 eV/atom

Cell lengths 5.108, 5.108, 5.108 Å; angles 90.00, 90.00, 90.00 degrees
Site moments in Bohr magnetons follow the coordinates.
Atoms (fractional coordinates):
Al (0.000, 0.500, 0.000)  0.02
Y (0.000, 0.000, 0.000)  0.19
Hf (0.500, 0.500, 0.500)  -0.03
Al (0.500, 0.000, 0.000)  0.03
Al (0.000, 0.000, 0.500)  0.00

# 3
Density functional theory data (GGA-PBE) for Y2HfAl after structural relaxation.

Summary:
**Energy relative to the elements**: -0.0922 eV/atom

Cell lengths 4.621, 4.601, 4.601 Å; angles 90.00, 90.00, 90.00 degrees
Atoms (fractional coordinates):
Y (0.000, 0.500, 0.000)
Y (0.000, 0.000, 0.500)
Al (0.500, 0.000, 0.000)
Hf (0.500, 0.500, 0.500)

# 4
Density functional theory data (GGA-PBE) for YHf3Al after structural relaxation.

Summary:
**Excess energy over the best structure of this formula in the dataset**: 1.044 eV/atom
**Energy relative to the elements**: 1.6462 eV/atom

Cell lengths 5.132, 5.132, 5.132 Å; angles 90.00, 90.00, 90.00 degrees
Atoms (fractional coordinates):
Hf (0.500, 0.000, 0.000)
Al (0.500, 0.500, 0.500)
Hf (0.000, 0.500, 0.000)
Y (0.000, 0.000, 0.000)
Hf (0.000, 0.000, 0.500)

# 5
Density functional theory data (GGA-PBE) for YHfAl4 after structural relaxation.

Summary:
**Energy relative to the elements**: -0.4551 eV/atom

Cell lengths 5.420, 5.420, 5.420 Å; angles 60.00, 60.00, 60.00 degrees
Atoms (fractional coordinates):
Al (0.625, 0.625, 0.124)
Hf (0.000, 0.000, 0.000)
Al (0.124, 0.625, 0.625)
Al (0.625, 0.625, 0.625)
Y (0.250, 0.250, 0.250)
Al (0.625, 0.124, 0.625)

# 6
Density functional theory data (GGA-PBE) for Y3HfAl after structural relaxation.

Summary:
**Excess energy over the best structure of this formula in the dataset**: 0.000 eV/atom
**Energy relative to the elements**: 0.6472 eV/atom

Cell lengths 5.453, 5.453, 5.453 Å; angles 90.00, 90.00, 90.00 degrees
Site moments in Bohr magnetons follow the coordinates.
Atoms (fractional coordinates):
Y (0.500, 0.000, 0.000)  0.22
Al (0.000, 0.000, 0.000)  0.02
Hf (0.500, 0.500, 0.500)  0.80
Y (0.000, 0.500, 0.000)  0.21
Y (0.000, 0.000, 0.500)  0.26

# 7
Density functional theory data (GGA-PBE) for YHfAl3 after structural relaxation.

Summary:
**Excess energy over the best structure of this formula in the dataset**: 0.000 eV/atom
**Energy relative to the elements**: 0.4402 eV/atom

Cell lengths 5.083, 5.083, 5.083 Å; angles 90.00, 90.00, 90.00 degrees
Atoms (fractional coordinates):
Al (0.500, 0.000, 0.000)
Hf (0.000, 0.000, 0.000)
Al (0.000, 0.500, 0.000)
Y (0.500, 0.500, 0.500)
Al (0.000, 0.000, 0.500)

# 8
Density functional theory data (GGA-PBE) for YHf2Al after structural relaxation.

Summary:
**Energy relative to the elements**: 0.2544 eV/atom

Cell lengths 3.100, 3.100, 11.304 Å; angles 82.12, 82.12, 60.00 degrees
Atoms (fractional coordinates):
Hf (0.905, 0.905, 0.285)
Hf (0.095, 0.095, 0.715)
Al (0.500, 0.500, 0.500)
Y (0.000, 0.000, 0.000)

# 9
Density functional theory data (GGA-PBE) for Y2HfAl after structural relaxation.

Summary:
**Energy relative to the elements**: -0.1137 eV/atom

Cell lengths 3.404, 3.404, 8.717 Å; angles 90.00, 90.00, 90.00 degrees
Atoms (fractional coordinates):
Y (0.000, 0.000, 0.767)
Hf (0.500, 0.500, 0.500)
Al (0.500, 0.500, 0.000)
Y (0.000, 0.000, 0.233)

# 10
Density functional theory data (GGA-PBE) for YHf2Al6 after structural relaxation.

Summary:
**Excess energy over the best structure of this formula in the dataset**: 0.000 eV/atom
**Energy relative to the elements**: -0.3725 eV/atom

Cell lengths 3.195, 7.792, 7.792 Å; angles 120.00, 90.00, 90.00 degrees
Atoms (fractional coordinates):
Y (0.000, 0.000, 0.000)
Al (0.500, 0.663, 0.663)
Al (0.500, 0.000, 0.663)
Al (0.500, 0.337, 0.337)
Hf (0.000, 0.667, 0.333)
Al (0.500, 0.000, 0.337)
Al (0.500, 0.337, 0.000)
Hf (0.000, 0.333, 0.667)
Al (0.500, 0.663, 0.000)

# 11
Density functional theory data (GGA-PBE) for YHf2Al after structural relaxation.

Summary:
**Energy relative to the elements**: 0.3781 eV/atom

Cell lengths 8.118, 8.118, 6.452 Å; angles 51.02, 51.02, 90.00 degrees
Atoms (fractional coordinates):
Hf (0.375, 0.411, 0.750)
Hf (0.589, 0.125, 0.250)
Y (0.750, 0.250, 0.500)
Al (0.250, 0.750, 0.500)
Al (0.500, 0.500, 0.000)
Hf (0.161, 0.625, 0.250)
Y (0.000, 0.000, 0.000)
Hf (0.875, 0.839, 0.750)

# 12
Density functional theory data (GGA-PBE) for YHf3Al8 after structural relaxation.

Summary:
**Excess energy over the best structure of this formula in the dataset**: 0.006 eV/atom
**Energy relative to the elements**: -0.4420 eV/atom

Cell lengths 5.318, 5.318, 8.842 Å; angles 90.00, 90.00, 120.00 degrees
Atoms (fractional coordinates):
Al (0.333, 0.667, 0.002)
Hf (0.667, 0.333, 0.066)
Al (0.992, 0.496, 0.757)
Al (0.163, 0.837, 0.245)
Y (0.000, 0.000, 0.565)
Al (0.674, 0.837, 0.245)
Al (0.163, 0.326, 0.245)
Al (0.504, 0.496, 0.757)
Hf (0.667, 0.333, 0.426)
Al (0.333, 0.667, 0.498)
Al (0.504, 0.008, 0.757)
Hf (0.000, 0.000, 0.938)

# 13
Density functional theory data (GGA-PBE) for Y2HfAl2 after structural relaxation.

Summary:
**Energy relative to the elements**: -0.2434 eV/atom

Cell lengths 7.477, 7.477, 4.384 Å; angles 90.00, 90.00, 90.00 degrees
Atoms (fractional coordinates):
Hf (0.000, 0.000, 0.000)
Al (0.374, 0.874, 0.000)
Al (0.626, 0.126, 0.000)
Hf (0.500, 0.500, 0.000)
Al (0.874, 0.626, 0.000)
Y (0.324, 0.176, 0.500)
Y (0.676, 0.824, 0.500)
Al (0.126, 0.374, 0.000)
Y (0.824, 0.324, 0.500)
Y (0.176, 0.676, 0.500)

# 14
Density functional theory data (GGA-PBE) for YHf3Al8 after structural relaxation.

Summary:
**Excess energy over the best structure of this formula in the dataset**: 0.000 eV/atom
**Energy relative to the elements**: -0.4481 eV/atom

Cell lengths 5.346, 5.346, 9.279 Å; angles 73.26, 73.26, 60.00 degrees
Atoms (fractional coordinates):
Al (0.940, 0.439, 0.182)
Y (0.875, 0.875, 0.375)
Hf (0.001, 0.001, 0.996)
Al (0.439, 0.940, 0.182)
Hf (0.376, 0.376, 0.873)
Al (0.187, 0.187, 0.439)
Al (0.439, 0.439, 0.182)
Al (0.434, 0.937, 0.692)
Al (0.937, 0.937, 0.692)
Al (0.688, 0.688, 0.937)
Hf (0.497, 0.497, 0.509)
Al (0.937, 0.434, 0.692)

# 15
Density functional theory data (GGA-PBE) for YHf2Al after structural relaxation.

Summary:
**Energy relative to the elements**: -0.1044 eV/atom

Cell lengths 4.480, 4.453, 4.453 Å; angles 90.00, 90.00, 90.00 degrees
Atoms (fractional coordinates):
Al (0.500, 0.000, 0.000)
Y (0.500, 0.500, 0.500)
Hf (0.000, 0.000, 0.500)
Hf (0.000, 0.500, 0.000)

# 16
Density functional theory data (GGA-PBE) for Y3HfAl after structural relaxation.

Summary:
**Excess energy over the best structure of this formula in the dataset**: 0.155 eV/atom
**Energy relative to the elements**: 0.8021 eV/atom

Cell lengths 5.492, 5.492, 5.492 Å; angles 90.00, 90.00, 90.00 degrees
Atoms (fractional coordinates):
Y (0.000, 0.000, 0.500)
Y (0.000, 0.500, 0.000)
Al (0.500, 0.500, 0.500)
Hf (0.000, 0.000, 0.000)
Y (0.500, 0.000, 0.000)

# 17
Density functional theory data (GGA-PBE) for Hf2AlZn12 after structural relaxation.

Summary:
**Energy relative to the elements**: 0.0276 eV/atom

Cell lengths 5.403, 5.403, 17.144 Å; angles 90.00, 90.00, 90.00 degrees
Atoms (fractional coordinates):
Zn (0.500, 0.500, 0.659)
Hf (0.000, 0.500, 0.269)
Hf (0.000, 0.500, 0.731)
Hf (0.500, 0.000, 0.731)
Zn (0.750, 0.750, 0.108)
Al (0.500, 0.000, 0.000)
Zn (0.828, 0.672, 0.433)
Zn (0.750, 0.250, 0.892)
Hf (0.500, 0.000, 0.269)
Zn (0.000, 0.000, 0.203)
Zn (0.328, 0.828, 0.433)
Zn (0.828, 0.328, 0.567)
Zn (0.172, 0.672, 0.567)
Zn (0.750, 0.750, 0.892)
Zn (0.000, 0.000, 0.341)
Zn (0.250, 0.750, 0.892)
Zn (0.672, 0.828, 0.567)
Zn (0.500, 0.500, 0.341)
Al (0.000, 0.500, 0.000)
Zn (0.250, 0.750, 0.108)
Zn (0.250, 0.250, 0.892)
Zn (0.250, 0.250, 0.108)
Zn (0.328, 0.172, 0.567)
Zn (0.750, 0.250, 0.108)
Zn (0.000, 0.000, 0.659)
Zn (0.000, 0.000, 0.797)
Zn (0.672, 0.172, 0.433)
Zn (0.500, 0.500, 0.797)
Zn (0.172, 0.328, 0.433)
Zn (0.500, 0.500, 0.203)

# 18
Density functional theory data (GGA-PBE) for Hf2AlZn after structural relaxation.

Summary:
**Energy relative to the elements**: -0.2922 eV/atom

Cell lengths 3.285, 4.171, 5.734 Å; angles 90.00, 106.65, 90.00 degrees
Atoms (fractional coordinates):
Al (0.380, 0.000, 0.760)
Hf (0.777, 0.500, 0.554)
Zn (0.514, 0.500, 0.029)
Hf (0.114, 0.000, 0.227)

# 19
Density functional theory data (GGA-PBE) for HfAl2Zn2 after structural relaxation.

Summary:
**Energy relative to the elements**: -0.1294 eV/atom

Cell lengths 3.017, 5.592, 5.382 Å; angles 86.48, 73.72, 74.35 degrees
Atoms (fractional coordinates):
Al (0.384, 0.792, 0.439)
Zn (0.183, 0.437, 0.197)
Hf (0.000, 0.000, 0.000)
Al (0.616, 0.208, 0.561)
Zn (0.817, 0.563, 0.803)

# 20
Density functional theory data (GGA-PBE) for HfAlZn2 after structural relaxation.

Summary:
**Energy relative to the elements**: 0.1087 eV/atom

Cell lengths 7.210, 7.210, 5.824 Å; angles 51.76, 51.76, 90.00 degrees
Atoms (fractional coordinates):
Hf (0.750, 0.250, 0.500)
Zn (0.152, 0.625, 0.250)
Al (0.250, 0.750, 0.500)
Zn (0.875, 0.848, 0.750)
Zn (0.375, 0.402, 0.750)
Hf (0.000, 0.000, 0.000)
Al (0.500, 0.500, 0.000)
Zn (0.598, 0.125, 0.250)

no.,magnetization (μB per cell),calculated total energy (eV/atom)
1,1.41,-6.305
2,0.31,-4.253
3,0.00,-6.748
4,0.00,-6.367
5,0.00,-5.686
6,3.35,-5.970
7,0.00,-5.089
8,0.00,-7.274
9,0.00,-6.770
10,0.00,-5.798
11,0.00,-7.150
12,0.00,-5.964
13,0.00,-6.317
14,0.00,-5.970
15,0.00,-7.633
16,0.00,-5.816
17,0.00,-2.568
18,0.00,-6.523
19,0.00,-4.127
20,0.00,-3.952